Version a
{
  "formula": "MnZnI2",
  "functional": "PBE",
  "state": "relaxed",
  "magnetic_moment_mub_per_fu": 0.0,
  "spacegroup": "Fm-3m",
  "lattice_angstrom": [[4.115, -2.447, -1.400], [2.983, -2.036, 3.440], [0.236, -4.959, 0.476]],
  "species": ["I", "I", "Zn", "Mn"],
  "frac_coords": [[0.250, 0.250, 0.250], [0.750, 0.750, 0.750], [0.500, 0.500, 0.500], [0.000, 0.000, 0.000]]
}

=====

Version b
{
  "formula": "MnZnI2",
  "functional": "PBE",
  "state": "relaxed",
  "magnetic_moment_mub_per_fu": 0.0,
  "spacegroup": "I-42d",
  "lattice_angstrom": [[-6.120, 4.054, -1.451], [-4.279, -5.443, 2.839], [-4.884, 1.359, 5.106]],
  "species": ["I", "I", "I", "I", "Zn", "Zn", "Mn", "Mn"],
  "frac_coords": [[0.524, 0.125, 0.250], [0.226, 0.625, 0.250], [0.375, 0.476, 0.750], [0.875, 0.774, 0.750], [0.000, 0.000, 0.000], [0.750, 0.250, 0.500], [0.500, 0.500, 0.000], [0.250, 0.750, 0.500]]
}

=====

Stability, lowest: version a

=====

Version a
{
  "formula": "Mn2ZnI",
  "functional": "PBE",
  "state": "relaxed",
  "magnetic_moment_mub_per_fu": 0.8,
  "spacegroup": "Fm-3m",
  "lattice_angstrom": [[-3.513, 0.861, 2.361], [-2.038, 3.781, -0.460], [-3.885, 0.144, -1.883]],
  "species": ["I", "Zn", "Mn", "Mn"],
  "frac_coords": [[0.500, 0.500, 0.500], [0.000, 0.000, 0.000], [0.250, 0.250, 0.250], [0.750, 0.750, 0.750]]
}

=====

Version b
{
  "formula": "Mn2ZnI",
  "functional": "PBE",
  "state": "relaxed",
  "magnetic_moment_mub_per_fu": 8.7,
  "spacegroup": "I-42d",
  "lattice_angstrom": [[4.854, 0.000, 0.000], [0.000, 4.854, 0.000], [2.427, 2.427, 8.455]],
  "species": ["I", "I", "Zn", "Zn", "Mn", "Mn", "Mn", "Mn"],
  "frac_coords": [[0.000, 0.000, 0.000], [0.750, 0.250, 0.500], [0.500, 0.500, 0.000], [0.250, 0.750, 0.500], [0.545, 0.125, 0.250], [0.205, 0.625, 0.250], [0.375, 0.455, 0.750], [0.875, 0.795, 0.750]]
}

=====

Stability, lowest: version a